Below is a relaxed VPtS2 crystal, with properties calculated at the PBE level.

Results
formation energy (no corrections)	-0.66	eV/atom
D(E_F)	1.24	states/eV per cell
total moment	0.0	μB per cell

Unit cell a=7.7785 b=7.7785 c=7.7785 alpha=22.89 beta=22.89 gamma=22.89
Last column: nearest neighbours and their distance in Å.
Element x y z (fractional)
V 0.0000 0.0000 0.0000  6 S 2.33
Pt 0.5000 0.5000 0.5000  2 S 2.29
S 0.3991 0.3991 0.3991  1 Pt 2.29, 3 V 2.33
S 0.6009 0.6009 0.6009  1 Pt 2.29, 3 V 2.33



Below is a relaxed VPtS2 crystal, with properties calculated at the PBE level.

Results
formation energy (no corrections)	0.00	eV/atom
D(E_F)	2.84	states/eV per cell
total moment	1.2	μB per cell

Unit cell a=4.3371 b=4.3371 c=4.3371 alpha=60.00 beta=60.00 gamma=60.00
Last column: nearest neighbours and their distance in Å.
Element x y z (fractional)
V 0.0000 0.0000 0.0000  8 S 2.66
Pt 0.5000 0.5000 0.5000  8 S 2.66
S 0.2500 0.2500 0.2500  4 Pt 2.66, 4 V 2.66
S 0.7500 0.7500 0.7500  4 Pt 2.66, 4 V 2.66



Below is a relaxed VPt3S crystal, with properties calculated at the PBE level.

Results
formation energy (no corrections)	0.41	eV/atom
distance to the lowest polymorph of the same formula	0.000	eV per atom
D(E_F)	7.82	states/eV per cell
total moment	3.0	μB per cell

Unit cell a=4.4959 b=4.4959 c=4.4959 alpha=90.00 beta=90.00 gamma=90.00
Last column: nearest neighbours and their distance in Å.
Element x y z (fractional)
V 0.0000 0.0000 0.0000  12 Pt 3.18
Pt 0.0000 0.5000 0.5000  2 S 2.25
Pt 0.5000 0.0000 0.5000  2 S 2.25
Pt 0.5000 0.5000 0.0000  2 S 2.25
S 0.5000 0.5000 0.5000  6 Pt 2.25



Result set for electronic total energy: -0.2395; -0.2152; -0.2154 Ha/atom, one per record in the order listed.
Result set for density: 8.24; 8.93; 12.21 g cm⁻³, one per record in the order listed.